CsSbSe3 | PBE | relaxed

Values from the calculation:
Crystal system: cubic
Space group: Pm-3m
Total energy, eV/f.u.: -16.99
Volume, Å³/f.u.: 164.2

abc: 5.4763 5.4763 5.4763
angles: 90.00 90.00 90.00
Sites, in units of the cell vectors:
Cs 0.5000 0.5000 0.5000
Se 0.5000 0.0000 0.0000
Se 0.0000 0.0000 0.5000
Se 0.0000 0.5000 0.0000
Sb 0.0000 0.0000 0.0000